1.
This record from Alexandria describes crystalline YGaCu2As at its relaxed geometry. The functional is PBE-GGA.

Cell: 4.5061 4.5061 5.4965 Å, 90.00 90.00 90.00°
Space group P4/mmm (No. 123)
Symmetry-distinct sites (fractional):
Y: 0.0000 0.0000 0.0000 (multiplicity 1)
Ga: 0.5000 0.5000 0.0000 (multiplicity 1)
Cu: 0.0000 0.5000 0.5000 (multiplicity 2)
As: 0.0000 0.0000 0.5000 (multiplicity 1)

Values from the calculation:
- magnetization (μB per cell) = 0.0
- formation energy (eV per formula unit) = -0.1

2.
This record from Alexandria describes crystalline BC2 at its relaxed geometry. The functional is PBE-GGA.

Cell: 4.4799 2.5624 6.6595 Å, 90.00 90.02 90.00°
Space group Pm (No. 6)
Symmetry-distinct sites (fractional):
B: 0.0000 0.0000 0.0000 (multiplicity 1)
B: 0.1568 0.5000 0.5500 (multiplicity 1)
B: 0.3982 0.0000 0.8787 (multiplicity 1)
B: 0.8064 0.5000 0.8630 (multiplicity 1)
C: 0.1651 0.5000 0.3086 (multiplicity 1)
C: 0.3584 0.0000 0.6417 (multiplicity 1)
C: 0.4749 0.5000 0.9973 (multiplicity 1)
C: 0.4956 0.5000 0.2275 (multiplicity 1)
C: 0.6617 0.0000 0.3068 (multiplicity 1)
C: 0.6630 0.0000 0.5426 (multiplicity 1)
C: 0.8204 0.5000 0.6249 (multiplicity 1)
C: 0.9994 0.0000 0.2344 (multiplicity 1)

Values from the calculation:
- E above lowest polymorph (meV per atom) = 100.1
- magnetization (μB per cell) = 0.0
- formation energy (eV per formula unit) = 1.0

3.
This record from Alexandria describes crystalline TlSnAu at its relaxed geometry. The functional is PBE-GGA.

Cell: 5.4461 4.5761 6.6978 Å, 90.00 96.95 90.00°
Space group P2/m (No. 10)
Symmetry-distinct sites (fractional):
Tl: 0.1763 0.0000 0.3172 (multiplicity 2)
Sn: 0.2472 0.5000 0.8432 (multiplicity 2)
Au: 0.5000 0.0000 0.0000 (multiplicity 1)
Au: 0.5000 0.5000 0.5000 (multiplicity 1)

Values from the calculation:
- magnetization (μB per cell) = 0.0
- formation energy (eV per formula unit) = -0.2

4.
This record from Alexandria describes crystalline YHf2Sn2 at its relaxed geometry. The functional is PBE-GGA.

Cell: 7.9358 7.9358 3.8144 Å, 90.00 90.00 90.00°
Space group P4/mbm (No. 127)
Symmetry-distinct sites (fractional):
Y: 0.0000 0.0000 0.0000 (multiplicity 2)
Hf: 0.1633 0.3367 0.5000 (multiplicity 4)
Sn: 0.1346 0.6346 0.0000 (multiplicity 4)

Values from the calculation:
- E above lowest polymorph (meV per atom) = 0.0
- magnetization (μB per cell) = 0.0
- formation energy (eV per formula unit) = -1.8

5.
This record from Alexandria describes crystalline NdDy2Mn at its relaxed geometry. The functional is PBE-GGA.

Cell: 4.9816 4.9816 15.4539 Å, 90.00 90.00 120.00°
Space group R-3m (No. 166, hexagonal axes)
Symmetry-distinct sites (fractional):
Nd: 0.0000 0.0000 0.0000 (multiplicity 3)
Dy: 0.0000 0.0000 0.2258 (multiplicity 6)
Mn: 0.0000 0.0000 0.5000 (multiplicity 3)

Values from the calculation:
- E above lowest polymorph (meV per atom) = 215.5
- magnetization (μB per cell) = 5.6
- formation energy (eV per formula unit) = 1.4

6.
This record from Alexandria describes crystalline Er3ZnPd3 at its relaxed geometry. The functional is PBE-GGA.

Cell: 4.0287 10.3620 14.1610 Å, 90.00 90.00 90.00°
Space group Cmcm (No. 63)
Symmetry-distinct sites (fractional):
Er: 0.0000 0.0369 0.2500 (multiplicity 4)
Er: 0.0000 0.3091 0.1037 (multiplicity 8)
Zn: 0.0000 0.0000 0.0000 (multiplicity 4)
Pd: 0.0000 0.2377 0.7500 (multiplicity 4)
Pd: 0.0000 0.4050 0.5936 (multiplicity 8)

Values from the calculation:
- magnetization (μB per cell) = 0.0
- formation energy (eV per formula unit) = -5.8

7.
This record from Alexandria describes crystalline FeReTe2 at its relaxed geometry. The functional is PBE-GGA.

Cell: 6.8527 3.9544 7.1670 Å, 90.00 108.45 90.00°
Space group Cm (No. 8)
Symmetry-distinct sites (fractional):
Fe: 0.0000 0.0000 0.0000 (multiplicity 2)
Re: 0.3034 0.0000 0.9097 (multiplicity 2)
Te: 0.0550 0.5000 0.6626 (multiplicity 2)
Te: 0.2313 0.5000 0.1952 (multiplicity 2)

Values from the calculation:
- E above lowest polymorph (meV per atom) = 36.9
- magnetization (μB per cell) = 1.9
- ΔE_f (raw) (eV/atom) = 0.186

8.
This record from Alexandria describes crystalline NdEr2Ag at its relaxed geometry. The functional is PBE-GGA.

Cell: 3.5898 3.5898 8.7948 Å, 90.00 90.00 90.00°
Space group P4/mmm (No. 123)
Symmetry-distinct sites (fractional):
Nd: 0.0000 0.0000 0.0000 (multiplicity 1)
Er: 0.5000 0.5000 0.2936 (multiplicity 2)
Ag: 0.0000 0.0000 0.5000 (multiplicity 1)

Values from the calculation:
- E above lowest polymorph (meV per atom) = 0.0
- magnetization (μB per cell) = 0.0
- formation energy (eV per formula unit) = -0.6

9.
This record from Alexandria describes crystalline ScCr3 at its relaxed geometry. The functional is PBE-GGA.

Cell: 4.8065 4.8065 4.8065 Å, 90.00 90.00 90.00°
Space group Pm-3n (No. 223)
Symmetry-distinct sites (fractional):
Sc: 0.0000 0.0000 0.0000 (multiplicity 2)
Cr: 0.0000 0.2500 0.5000 (multiplicity 6)

Values from the calculation:
- magnetization (μB per cell) = 0.0
- formation energy (eV per formula unit) = 1.9

10.
This record from Alexandria describes crystalline CsCa3Rh at its relaxed geometry. The functional is PBE-GGA.

Cell: 5.6552 5.6552 5.6552 Å, 90.00 90.00 90.00°
Space group Pm-3m (No. 221)
Symmetry-distinct sites (fractional):
Cs: 0.0000 0.0000 0.0000 (multiplicity 1)
Ca: 0.0000 0.0000 0.5000 (multiplicity 3)
Rh: 0.5000 0.5000 0.5000 (multiplicity 1)

Values from the calculation:
- E above lowest polymorph (meV per atom) = 1664.9
- magnetization (μB per cell) = 1.3
- formation energy (eV per formula unit) = 7.8

11.
This record from Alexandria describes crystalline Pm4Nd10Tm at its relaxed geometry. The functional is PBE-GGA.

Cell: 12.4506 12.4506 7.8600 Å, 90.00 90.00 90.00°
Space group I4/m (No. 87)
Symmetry-distinct sites (fractional):
Pm: 0.1005 0.7008 0.0000 (multiplicity 8)
Nd: 0.0000 0.5000 0.2500 (multiplicity 4)
Nd: 0.0988 0.1986 0.2520 (multiplicity 16)
Tm: 0.0000 0.0000 0.5000 (multiplicity 2)

Values from the calculation:
- magnetization (μB per cell) = 0.0
- formation energy (eV per formula unit) = 10.5

12.
This record from Alexandria describes crystalline Cd2AgBr at its relaxed geometry. The functional is PBE-GGA.

Cell: 7.3905 7.3905 7.3905 Å, 90.00 90.00 90.00°
Space group F-43m (No. 216)
Symmetry-distinct sites (fractional):
Cd: 0.0000 0.0000 0.0000 (multiplicity 4)
Cd: 0.2500 0.2500 0.2500 (multiplicity 4)
Ag: 0.2500 0.2500 0.7500 (multiplicity 4)
Br: 0.0000 0.0000 0.5000 (multiplicity 4)

Values from the calculation:
- E above lowest polymorph (meV per atom) = 300.2
- magnetization (μB per cell) = 0.0
- ΔE_f (raw) (eV/atom) = 0.144

13.
This record from Alexandria describes crystalline Pm3Ho2Tl6 at its relaxed geometry. The functional is PBE-GGA.

Cell: 4.8213 4.8213 29.2051 Å, 90.00 90.00 90.00°
Space group I4/mmm (No. 139)
Symmetry-distinct sites (fractional):
Pm: 0.0000 0.0000 0.0000 (multiplicity 2)
Pm: 0.0000 0.0000 0.1986 (multiplicity 4)
Ho: 0.0000 0.0000 0.4462 (multiplicity 4)
Tl: 0.0000 0.0000 0.3059 (multiplicity 4)
Tl: 0.0000 0.5000 0.1172 (multiplicity 8)

Values from the calculation:
- magnetization (μB per cell) = 0.0
- formation energy (eV per formula unit) = -1.1

14.
This record from Alexandria describes crystalline ZrTaReTc at its relaxed geometry. The functional is PBE-GGA.

Cell: 6.4848 6.4848 6.4848 Å, 90.00 90.00 90.00°
Space group F-43m (No. 216)
Symmetry-distinct sites (fractional):
Zr: 0.0000 0.0000 0.0000 (multiplicity 4)
Ta: 0.0000 0.0000 0.5000 (multiplicity 4)
Re: 0.2500 0.2500 0.2500 (multiplicity 4)
Tc: 0.2500 0.2500 0.7500 (multiplicity 4)

Values from the calculation:
- magnetization (μB per cell) = 0.0
- formation energy (eV per formula unit) = -1.5

15.
This record from Alexandria describes crystalline Bi4PdCl at its relaxed geometry. The functional is PBE-GGA.

Cell: 14.7476 8.9611 6.8103 Å, 90.00 117.49 90.00°
Space group C2/m (No. 12)
Symmetry-distinct sites (fractional):
Bi: 0.0000 0.2443 0.0000 (multiplicity 4)
Bi: 0.1208 0.3225 0.6724 (multiplicity 8)
Bi: 0.1872 0.5000 0.1554 (multiplicity 4)
Pd: 0.0254 0.5000 0.2625 (multiplicity 4)
Cl: 0.1386 0.0000 0.3833 (multiplicity 4)

Values from the calculation:
- magnetization (μB per cell) = 0.0
- ΔE_f (raw) (eV/atom) = -0.246

16.
This record from Alexandria describes crystalline LaNdInAg at its relaxed geometry. The functional is PBE-GGA.

Cell: 3.7653 3.7653 8.0829 Å, 90.00 90.00 90.00°
Space group P4mm (No. 99)
Symmetry-distinct sites (fractional):
La: 0.0000 0.0000 0.0000 (multiplicity 1)
Nd: 0.0000 0.0000 0.5201 (multiplicity 1)
In: 0.5000 0.5000 0.2654 (multiplicity 1)
Ag: 0.5000 0.5000 0.7465 (multiplicity 1)

Values from the calculation:
- E above lowest polymorph (meV per atom) = 0.0
- magnetization (μB per cell) = 0.0
- formation energy (eV per formula unit) = -1.5

17.
This record from Alexandria describes crystalline Mn3AlH at its relaxed geometry. The functional is PBE-GGA.

Cell: 8.5272 4.9714 4.5719 Å, 90.00 92.29 90.00°
Space group C2/m (No. 12)
Symmetry-distinct sites (fractional):
Mn: 0.1013 0.0000 0.3336 (multiplicity 4)
Mn: 0.1151 0.2582 0.8475 (multiplicity 8)
Al: 0.1408 0.5000 0.3570 (multiplicity 4)
H: 0.2300 0.0000 0.0372 (multiplicity 4)

Values from the calculation:
- total DFT energy (no corrections) (eV/atom) = -6.969
- magnetization (μB per cell) = 0.0

18.
This record from Alexandria describes crystalline NaAsRuBr2 at its relaxed geometry. The functional is PBE-GGA.

Cell: 5.3886 5.3886 4.6146 Å, 90.00 90.00 90.00°
Space group P4/mmm (No. 123)
Symmetry-distinct sites (fractional):
Na: 0.0000 0.0000 0.0000 (multiplicity 1)
As: 0.5000 0.5000 0.0000 (multiplicity 1)
Ru: 0.5000 0.5000 0.5000 (multiplicity 1)
Br: 0.0000 0.5000 0.5000 (multiplicity 2)

Values from the calculation:
- E above lowest polymorph (meV per atom) = 0.0
- magnetization (μB per cell) = 0.0
- ΔE_f (raw) (eV/atom) = -0.205